# 1
The following is a PBE calculation of an optimized crystal structure of Ti2W, from Alexandria via LeMat-Bulk.

Cell lengths 10.167, 3.178, 6.602 Å; angles 90.00, 110.01, 90.00 degrees
Space group C2/m (No. 12)
Asymmetric unit:
Ti: 0.004 0.000 0.229 x4
Ti: 0.171 0.500 0.595 x4
W: 0.172 0.500 0.079 x4

## Properties
V ... 16.70 Å³/atom
M_tot ... 0.002 μB/cell
Energy of formation from the pure elements ... 12 meV/atom



# 2
The following is a PBE calculation of an optimized crystal structure of Ti2W, from Alexandria via LeMat-Bulk.

Cell lengths 2.784, 4.500, 8.002 Å; angles 90.00, 94.77, 90.00 degrees
Space group P2_1/m (No. 11)
Asymmetric unit:
Ti: 0.076 0.250 0.242 x2
Ti: 0.300 0.250 0.595 x2
W: 0.364 0.750 0.078 x2

## Properties
V ... 16.65 Å³/atom
M_tot ... 0.000 μB/cell
Energy of formation from the pure elements ... 14 meV/atom



# 3
The following is a PBE calculation of an optimized crystal structure of Ti2W, from Alexandria via LeMat-Bulk.

Cell lengths 4.572, 4.567, 5.282 Å; angles 90.00, 115.36, 90.00 degrees
Space group C2/m (No. 12)
Asymmetric unit:
Ti: 0.155 0.000 0.308 x4
W: 0.000 0.500 0.000 x2

## Properties
V ... 16.61 Å³/atom
M_tot ... 0.000 μB/cell
Energy of formation from the pure elements ... 34 meV/atom



# 4
The following is a PBE calculation of an optimized crystal structure of Ti4W, from Alexandria via LeMat-Bulk.

Cell lengths 4.745, 4.745, 4.745 Å; angles 90.00, 90.00, 90.00 degrees
Space group Pm-3m (No. 221)
Asymmetric unit:
Ti: 0.000 0.000 0.000 x1
Ti: 0.000 0.500 0.500 x3
W: 0.500 0.500 0.500 x1

## Properties
V ... 21.37 Å³/atom
M_tot ... 0.933 μB/cell
Energy of formation from the pure elements ... 940 meV/atom
Energy above the lowest structure with this stoichiometry ... 898 meV per atom